Record 1
The following is a PBE-GGA calculation of a geometry-optimized MnCrCoB structure, from Alexandria.

a = 3.7872 Å, b = 3.7872 Å, c = 3.7872 Å
α = 60.00°, β = 60.00°, γ = 60.00°
With the nearest neighbours (Å) after each atom.
Element x y z (fractional)
Mn 0.0000 0.0000 0.0000  4 B 2.32, 4 Cr 2.32
Cr 0.2500 0.2500 0.2500  4 Mn 2.32, 4 Co 2.32
Co 0.5000 0.5000 0.5000  4 Cr 2.32, 4 B 2.32
B 0.7500 0.7500 0.7500  4 Mn 2.32, 4 Co 2.32

Computed properties:
SG: F-43m (216)
Calculated total energy in eV/atom: -8.056

=====

Record 2
The following is a PBE-GGA calculation of a geometry-optimized MgBe2Te structure, from Alexandria.

a = 3.9046 Å, b = 3.6229 Å, c = 5.4678 Å
α = 90.00°, β = 90.09°, γ = 90.00°
With the nearest neighbours (Å) after each atom.
Element x y z (fractional)
Mg 0.0000 0.0000 0.0000  8 Be 2.85
Be 0.5001 0.5000 0.1859  1 Be 2.03
Be 0.4999 0.5000 0.8141  1 Be 2.03
Te 0.5000 0.0000 0.5000  4 Be 2.50

Computed properties:
Energy relative to the lowest polymorph listed for this composition in kJ/mol of atoms: 10.2
SG: P2/m (10)
E_form (uncorrected) in eV/atom: 0.294

=====

V, record by record: 9.6, 19.3 Å³/atom
DOS at the Fermi energy, record by record: 3.3, 1.0 states/eV/cell
Total magnetic moment, record by record: 0.2517, 0.0000 μB per atom